# Cs5Pa3Te12 (PBE, relaxed)
# Crystal system: cubic
# V (Å³/cell): 4895.01
# Formation energy without anion corrections (meV per atom): -525
# SG: Ia-3d, No. 230
data_Cs5Pa3Te12
_chemical_formula_sum 'Cs20 Pa12 Te48'
_cell_length_a 18.526
_cell_length_b 18.526
_cell_length_c 18.526
_cell_angle_alpha 109.47
_cell_angle_beta 109.47
_cell_angle_gamma 109.47
_symmetry_space_group_name_H-M 'P 1'
_symmetry_Int_Tables_number 1
loop_
_symmetry_equiv_pos_as_xyz
'x,y,z'
loop_
_atom_site_label
_atom_site_fract_x
_atom_site_fract_y
_atom_site_fract_z
Cs1 0.000 0.000 0.000
Cs2 0.000 0.000 0.500
Cs3 0.000 0.500 0.000
Cs4 0.000 0.500 0.500
Cs5 0.125 0.750 0.875
Cs6 0.125 0.875 0.250
Cs7 0.250 0.125 0.875
Cs8 0.250 0.625 0.375
Cs9 0.375 0.250 0.625
Cs10 0.375 0.625 0.750
Cs11 0.500 0.000 0.000
Cs12 0.500 0.000 0.500
Cs13 0.500 0.500 0.000
Cs14 0.500 0.500 0.500
Cs15 0.625 0.375 0.250
Cs16 0.625 0.750 0.375
Cs17 0.750 0.375 0.625
Cs18 0.750 0.875 0.125
Cs19 0.875 0.125 0.750
Cs20 0.875 0.250 0.125
Pa1 0.125 0.250 0.375
Pa2 0.125 0.375 0.750
Pa3 0.250 0.375 0.125
Pa4 0.250 0.875 0.625
Pa5 0.375 0.125 0.250
Pa6 0.375 0.750 0.125
Pa7 0.625 0.250 0.875
Pa8 0.625 0.875 0.750
Pa9 0.750 0.125 0.375
Pa10 0.750 0.625 0.875
Pa11 0.875 0.625 0.250
Pa12 0.875 0.750 0.625
Te1 0.049 0.645 0.342
Te2 0.049 0.904 0.707
Te3 0.096 0.293 0.951
Te4 0.096 0.303 0.145
Te5 0.145 0.096 0.303
Te6 0.145 0.549 0.842
Te7 0.158 0.803 0.707
Te8 0.158 0.855 0.451
Te9 0.197 0.293 0.842
Te10 0.197 0.404 0.355
Te11 0.207 0.303 0.658
Te12 0.207 0.404 0.549
Te13 0.293 0.842 0.197
Te14 0.293 0.951 0.096
Te15 0.303 0.145 0.096
Te16 0.303 0.658 0.207
Te17 0.342 0.049 0.645
Te18 0.342 0.793 0.697
Te19 0.355 0.197 0.404
Te20 0.355 0.658 0.951
Te21 0.404 0.355 0.197
Te22 0.404 0.549 0.207
Te23 0.451 0.158 0.855
Te24 0.451 0.793 0.596
Te25 0.549 0.207 0.404
Te26 0.549 0.842 0.145
Te27 0.596 0.451 0.793
Te28 0.596 0.645 0.803
Te29 0.645 0.342 0.049
Te30 0.645 0.803 0.596
Te31 0.658 0.207 0.303
Te32 0.658 0.951 0.355
Te33 0.697 0.342 0.793
Te34 0.697 0.855 0.904
Te35 0.707 0.049 0.904
Te36 0.707 0.158 0.803
Te37 0.793 0.596 0.451
Te38 0.793 0.697 0.342
Te39 0.803 0.596 0.645
Te40 0.803 0.707 0.158
Te41 0.842 0.145 0.549
Te42 0.842 0.197 0.293
Te43 0.855 0.451 0.158
Te44 0.855 0.904 0.697
Te45 0.904 0.697 0.855
Te46 0.904 0.707 0.049
Te47 0.951 0.096 0.293
Te48 0.951 0.355 0.658